one:
The following is a DFT calculation (GGA-PBE) of Pr5Zn after structural relaxation.

The space group is Cmmm (No. 65) and the conventional cell measures 4.9395, 15.5788 and 5.0272 Å, with angles of 90.00, 90.00 and 90.00 degrees. Symmetry generates all atoms from Pr at (0.0000, 0.0000, 0.0000), Pr at (0.0000, 0.1604, 0.5000), Pr at (0.0000, 0.3379, 0.0000) and Zn at (0.0000, 0.5000, 0.5000).

As for the density of states at the Fermi level: 8.7 states/eV/f.u. The value obtained for the magnetization is 0.0 μB per formula unit. The crystal system is orthorhombic.


two:
The following is a DFT calculation (GGA-PBE) of Pr5Zn after structural relaxation.

The space group is C2/m (No. 12) and the conventional cell measures 12.6632, 3.7977 and 8.8756 Å, with angles of 90.00, 112.23 and 90.00 degrees. Symmetry generates all atoms from Pr at (0.0000, 0.0000, 0.0000), Pr at (0.1395, 0.5000, 0.3598), Pr at (0.1653, 0.5000, 0.7970) and Zn at (0.0000, 0.0000, 0.5000).

As for the density of states at the Fermi level: 7.6 states/eV/f.u. The value obtained for the magnetization is 0.0 μB per formula unit. The crystal system is monoclinic.


Top of the stability list: two, leading by 85 meV/atom.


one:
The following is a DFT calculation (GGA-PBE) of PrZrZn4 after structural relaxation.

The space group is F-43m (No. 216) and the conventional cell measures 7.6743, 7.6743 and 7.6743 Å, with angles of 90.00, 90.00 and 90.00 degrees. Symmetry generates all atoms from Pr at (0.0000, 0.0000, 0.0000), Zr at (0.2500, 0.2500, 0.7500) and Zn at (0.1236, 0.1236, 0.3764).

As for the density of states at the Fermi level: 4.8 states/eV/f.u. The value obtained for the magnetization is 0.9 μB per formula unit. The crystal system is cubic.


two:
The following is a DFT calculation (GGA-PBE) of PrZrZn4 after structural relaxation.

The space group is P6/mmm (No. 191) and the conventional cell measures 4.3930, 4.3930 and 7.2166 Å, with angles of 90.00, 90.00 and 120.00 degrees. Symmetry generates all atoms from Pr at (0.0000, 0.0000, 0.0000), Zr at (0.0000, 0.0000, 0.5000) and Zn at (0.3333, 0.6667, 0.2966).

As for the density of states at the Fermi level: 6.8 states/eV/f.u. The value obtained for the magnetization is 0.0 μB per formula unit. The crystal system is hexagonal.


Top of the stability list: two, leading by 89 meV/atom.


one:
The following is a DFT calculation (GGA-PBE) of PrZrZn after structural relaxation.

The space group is P-6m2 (No. 187) and the conventional cell measures 4.7292, 4.7292 and 3.9906 Å, with angles of 90.00, 90.00 and 120.00 degrees. Symmetry generates all atoms from Pr at (0.0000, 0.0000, 0.0000), Zr at (0.3333, 0.6667, 0.5000) and Zn at (0.6667, 0.3333, 0.5000).

As for the density of states at the Fermi level: 3.8 states/eV/f.u. The value obtained for the magnetization is 0.0 μB per formula unit. The crystal system is hexagonal.


two:
The following is a DFT calculation (GGA-PBE) of PrZrZn after structural relaxation.

The space group is I4mm (No. 107) and the conventional cell measures 3.4632, 3.4632 and 12.2444 Å, with angles of 90.00, 90.00 and 90.00 degrees. Symmetry generates all atoms from Pr at (0.0000, 0.0000, 0.0000), Zr at (0.0000, 0.0000, 0.3057) and Zn at (0.0000, 0.0000, 0.6803).

As for the density of states at the Fermi level: 2.1 states/eV/f.u. The value obtained for the magnetization is 0.0 μB per formula unit. The crystal system is tetragonal.


three:
The following is a DFT calculation (GGA-PBE) of PrZrZn after structural relaxation.

The space group is P4/nmm (No. 129, origin choice 2) and the conventional cell measures 4.5635, 4.5635 and 7.3382 Å, with angles of 90.00, 90.00 and 90.00 degrees. Symmetry generates all atoms from Pr at (0.2500, 0.2500, 0.1490), Zr at (0.2500, 0.7500, 0.5000) and Zn at (0.2500, 0.2500, 0.7331).

As for the density of states at the Fermi level: 3.6 states/eV/f.u. The value obtained for the magnetization is 0.0 μB per formula unit. The crystal system is tetragonal.


Top of the stability list: three, leading by 43 meV/atom.